VASP calculation (PBE-GGA) on an optimized crystal structure of Tb5Pr3Dy2.

Lattice parameters (Å, degrees): 11.3567 17.8600 6.7359 90.00 90.00 90.00
Space group Ibam (No. 72)
One atom of each set of equivalent atoms:
Tb 0.0000 0.0000 0.2500 (multiplicity 4)
Tb 0.0000 0.3195 0.2500 (multiplicity 8)
Tb 0.0945 0.1692 0.0000 (multiplicity 8)
Pr 0.0000 0.5000 0.2500 (multiplicity 4)
Pr 0.2114 0.1718 0.5000 (multiplicity 8)
Dy 0.2361 0.4711 0.5000 (multiplicity 8)

The total magnetization is 0.000 μB/cell. For the energy above the most stable polymorph in this dataset, the calculation gives 63 meV/atom. For the electronic total energy, the calculation gives -4.42 eV per atom. As for the crystal system: orthorhombic. The volume is 34.16 Å³ per atom.

VASP calculation (PBE-GGA) on an optimized crystal structure of KAu2N.

Lattice parameters (Å, degrees): 6.6468 6.6468 9.4986 90.00 90.00 90.00
Space group I4_1/amd (No. 141, origin choice 2)
One atom of each set of equivalent atoms:
K 0.0000 0.2500 0.3750 (multiplicity 4)
Au 0.0000 0.0000 0.0000 (multiplicity 8)
N 0.0000 0.2500 0.8750 (multiplicity 4)

The total magnetization is 0.000 μB/cell. For the electronic total energy, the calculation gives -3.91 eV per atom. As for the crystal system: tetragonal. For the formation energy without anion corrections, the calculation gives 0.083 eV per atom. The volume is 26.23 Å³ per atom.

VASP calculation (PBE-GGA) on an optimized crystal structure of CaTi2O4.

Lattice parameters (Å, degrees): 9.4184 2.9959 10.9381 90.00 90.00 90.00
Space group Pnma (No. 62)
One atom of each set of equivalent atoms:
Ca 0.2410 0.2500 0.1593 (multiplicity 4)
Ti 0.0621 0.2500 0.3910 (multiplicity 4)
Ti 0.0827 0.2500 0.8984 (multiplicity 4)
O 0.0220 0.7500 0.7823 (multiplicity 4)
O 0.0886 0.2500 0.5748 (multiplicity 4)
O 0.1191 0.7500 0.0278 (multiplicity 4)
O 0.2085 0.7500 0.3383 (multiplicity 4)

The total magnetization is 6.652 μB/cell. For the energy above the most stable polymorph in this dataset, the calculation gives 44 meV/atom. For the electronic total energy, the calculation gives -8.28 eV per atom. As for the crystal system: orthorhombic. For the formation energy without anion corrections, the calculation gives -2.903 eV per atom. The volume is 11.02 Å³ per atom.

VASP calculation (PBE-GGA) on an optimized crystal structure of Tb6Pr2Dy3Th.

Lattice parameters (Å, degrees): 6.2222 10.7644 11.8552 90.00 100.05 90.00
Space group C2/m (No. 12)
One atom of each set of equivalent atoms:
Tb 0.2443 0.0000 0.2481 (multiplicity 4)
Tb 0.2494 0.1646 0.7518 (multiplicity 8)
Pr 0.0000 0.3335 0.5000 (multiplicity 4)
Dy 0.0000 0.1670 0.0000 (multiplicity 4)
Dy 0.0000 0.5000 0.0000 (multiplicity 2)
Th 0.0000 0.0000 0.5000 (multiplicity 2)

The total magnetization is 0.000 μB/cell. For the electronic total energy, the calculation gives -4.85 eV per atom. As for the crystal system: monoclinic. The volume is 32.58 Å³ per atom.

VASP calculation (PBE-GGA) on an optimized crystal structure of BaSi2Hg.

Lattice parameters (Å, degrees): 9.5626 4.0547 6.0980 90.00 106.59 90.00
Space group C2/m (No. 12)
One atom of each set of equivalent atoms:
Ba 0.0000 0.0000 0.0000 (multiplicity 2)
Si 0.2366 0.5000 0.3722 (multiplicity 4)
Hg 0.0000 0.5000 0.5000 (multiplicity 2)

The total magnetization is 0.000 μB/cell. For the electronic total energy, the calculation gives -3.37 eV per atom. As for the crystal system: monoclinic. For the formation energy without anion corrections, the calculation gives -0.107 eV per atom. The volume is 28.32 Å³ per atom.

VASP calculation (PBE-GGA) on an optimized crystal structure of LiPu2SbN.

Lattice parameters (Å, degrees): 4.7559 4.7559 4.4410 90.00 90.00 90.00
Space group P4/mmm (No. 123)
One atom of each set of equivalent atoms:
Li 0.0000 0.0000 0.0000 (multiplicity 1)
Pu 0.0000 0.5000 0.5000 (multiplicity 2)
Sb 0.5000 0.5000 0.0000 (multiplicity 1)
N 0.0000 0.0000 0.5000 (multiplicity 1)

The total magnetization is 10.872 μB/cell. For the electronic total energy, the calculation gives -9.44 eV per atom. As for the crystal system: tetragonal. For the formation energy without anion corrections, the calculation gives -0.833 eV per atom. The volume is 20.09 Å³ per atom.

VASP calculation (PBE-GGA) on an optimized crystal structure of DyErTm.

Lattice parameters (Å, degrees): 7.0033 4.9636 10.4989 90.00 90.00 90.00
Space group Pnma (No. 62)
One atom of each set of equivalent atoms:
Dy 0.1249 0.2500 0.0835 (multiplicity 4)
Er 0.1251 0.2500 0.7497 (multiplicity 4)
Tm 0.1250 0.2500 0.4168 (multiplicity 4)

The total magnetization is 0.000 μB/cell. For the energy above the most stable polymorph in this dataset, the calculation gives 0 meV/atom. For the electronic total energy, the calculation gives -4.52 eV per atom. As for the crystal system: orthorhombic. The volume is 30.41 Å³ per atom.

VASP calculation (PBE-GGA) on an optimized crystal structure of MnFeCoC.

Lattice parameters (Å, degrees): 5.3340 5.3340 5.3340 90.00 90.00 90.00
Space group F-43m (No. 216)
One atom of each set of equivalent atoms:
Mn 0.0000 0.0000 0.0000 (multiplicity 4)
Fe 0.2500 0.2500 0.7500 (multiplicity 4)
Co 0.2500 0.2500 0.2500 (multiplicity 4)
C 0.0000 0.0000 0.5000 (multiplicity 4)

The total magnetization is 16.064 μB/cell. For the electronic total energy, the calculation gives -7.69 eV per atom. As for the crystal system: cubic. The volume is 9.49 Å³ per atom.

VASP calculation (PBE-GGA) on an optimized crystal structure of Dy4Te2PSe.

Lattice parameters (Å, degrees): 7.1959 4.1402 7.4370 90.00 108.68 90.00
Space group P2/m (No. 10)
One atom of each set of equivalent atoms:
Dy 0.2244 0.0000 0.2096 (multiplicity 2)
Dy 0.2491 0.5000 0.7867 (multiplicity 2)
Te 0.0000 0.0000 0.5000 (multiplicity 1)
Te 0.5000 0.5000 0.5000 (multiplicity 1)
P 0.0000 0.5000 0.0000 (multiplicity 1)
Se 0.5000 0.0000 0.0000 (multiplicity 1)

The total magnetization is 0.000 μB/cell. For the electronic total energy, the calculation gives -5.76 eV per atom. As for the crystal system: monoclinic. For the formation energy without anion corrections, the calculation gives -1.564 eV per atom. The volume is 26.24 Å³ per atom.

VASP calculation (PBE-GGA) on an optimized crystal structure of Ce3Er2TmTe6.

Lattice parameters (Å, degrees): 7.5169 13.0462 7.7911 90.00 108.80 90.00
Space group C2/m (No. 12)
One atom of each set of equivalent atoms:
Ce 0.0000 0.0000 0.0000 (multiplicity 2)
Ce 0.0000 0.3325 0.0000 (multiplicity 4)
Er 0.0000 0.1664 0.5000 (multiplicity 4)
Tm 0.0000 0.5000 0.5000 (multiplicity 2)
Te 0.2443 0.3338 0.7347 (multiplicity 8)
Te 0.2465 0.0000 0.7356 (multiplicity 4)

The total magnetization is 7.209 μB/cell. For the electronic total energy, the calculation gives -5.49 eV per atom. As for the crystal system: monoclinic. For the formation energy without anion corrections, the calculation gives -1.299 eV per atom. The volume is 30.14 Å³ per atom.

VASP calculation (PBE-GGA) on an optimized crystal structure of BeTlCd2.

Lattice parameters (Å, degrees): 12.8764 2.9300 4.8332 90.00 111.62 90.00
Space group C2/m (No. 12)
One atom of each set of equivalent atoms:
Be 0.0000 0.0000 0.0000 (multiplicity 2)
Tl 0.0000 0.5000 0.5000 (multiplicity 2)
Cd 0.1931 0.5000 0.1949 (multiplicity 4)

The total magnetization is 0.000 μB/cell. For the energy above the most stable polymorph in this dataset, the calculation gives 50 meV/atom. For the electronic total energy, the calculation gives -1.64 eV per atom. As for the crystal system: monoclinic. The volume is 21.19 Å³ per atom.

Which of these has the lowest electronic total energy? LiPu2SbN

Copy entry 9 word for word.
VASP calculation (PBE-GGA) on an optimized crystal structure of Dy4Te2PSe.

Lattice parameters (Å, degrees): 7.1959 4.1402 7.4370 90.00 108.68 90.00
Space group P2/m (No. 10)
One atom of each set of equivalent atoms:
Dy 0.2244 0.0000 0.2096 (multiplicity 2)
Dy 0.2491 0.5000 0.7867 (multiplicity 2)
Te 0.0000 0.0000 0.5000 (multiplicity 1)
Te 0.5000 0.5000 0.5000 (multiplicity 1)
P 0.0000 0.5000 0.0000 (multiplicity 1)
Se 0.5000 0.0000 0.0000 (multiplicity 1)

The total magnetization is 0.000 μB/cell. For the electronic total energy, the calculation gives -5.76 eV per atom. As for the crystal system: monoclinic. For the formation energy without anion corrections, the calculation gives -1.564 eV per atom. The volume is 26.24 Å³ per atom.

Look up the electronic total energy of the sixth one. -9.44 eV per atom